Sr2Tl2O5: optimized geometry, PBEsol.

Cell lengths 5.9997, 6.9650, 13.9266 Å; angles 90.00, 90.00, 106.36 degrees
With the nearest neighbours (Å) after each atom.
Positions (direct):
O: 0.2667 0.8154 0.0547  3 Tl 2.44-2.46, 2 Sr 2.53-2.57
O: 0.8369 0.9643 0.3610  1 Tl 2.15
O: 0.7098 0.1771 0.5347  1 Tl 2.18
O: 0.2902 0.8229 0.4653  1 Tl 2.18
O: 0.3631 0.0792 0.2657  1 Tl 2.07
O: 0.1489 0.0387 0.8599  1 Tl 2.13
O: 0.1489 0.5387 0.6401  1 Tl 2.13
O: 0.8369 0.4643 0.1390  1 Tl 2.15
O: 0.2902 0.3229 0.0347  1 Tl 2.18
O: 0.7333 0.6846 0.5547  3 Tl 2.44-2.46, 2 Sr 2.53-2.57
O: 0.8511 0.4613 0.3599  1 Tl 2.13
O: 0.7333 0.1846 0.9453  3 Tl 2.44-2.46, 2 Sr 2.53-2.57
O: 0.7098 0.6771 0.9653  1 Tl 2.18
O: 0.8511 0.9613 0.1401  1 Tl 2.13
O: 0.3631 0.5792 0.2343  1 Tl 2.07
O: 0.1631 0.5357 0.8610  1 Tl 2.15
O: 0.2667 0.3154 0.4453  3 Tl 2.44-2.46, 2 Sr 2.53-2.57
O: 0.6369 0.4208 0.7657  1 Tl 2.07
O: 0.6369 0.9208 0.7343  1 Tl 2.07
O: 0.1631 0.0357 0.6390  1 Tl 2.15
Sr: 0.0647 0.7602 0.2373  5 O 2.46-2.72
Sr: 0.5484 0.1368 0.1133  6 O 2.38-2.57
Sr: 0.9353 0.2398 0.7627  5 O 2.46-2.72
Sr: 0.0647 0.2602 0.2627  5 O 2.46-2.72
Sr: 0.4516 0.3632 0.6133  6 O 2.38-2.57
Sr: 0.9353 0.7398 0.7373  5 O 2.46-2.72
Sr: 0.4516 0.8632 0.8867  6 O 2.38-2.57
Sr: 0.5484 0.6368 0.3867  6 O 2.38-2.57
Tl: 0.0000 0.0000 0.5000  2 O 2.15
Tl: 0.5483 0.6387 0.1069  2 O 2.07-2.18
Tl: 0.5483 0.1387 0.3931  2 O 2.07-2.18
Tl: 0.0000 0.5000 0.0000  2 O 2.15
Tl: 0.0000 0.5000 0.5000  2 O 2.13
Tl: 0.0000 0.0000 0.0000  2 O 2.13
Tl: 0.4517 0.8613 0.6069  2 O 2.07-2.18
Tl: 0.4517 0.3613 0.8931  2 O 2.07-2.18

The value obtained for the formation energy from raw total energies is -1458 kJ/mol of formula units. The value obtained for the volume is 139.6 Å³/f.u. Its density is 7.9 g/cm3. The symmetry is P2_1/c. For the total energy, the calculation gives -201.2 eV per cell.

=====

SrTl3O: optimized geometry, PBEsol.

Cell lengths 6.1430, 6.1430, 6.1430 Å; angles 90.00, 90.00, 90.00 degrees
With the nearest neighbours (Å) after each atom.
Positions (direct):
Tl: 0.0000 0.0000 0.5000  2 Sr 3.07
Tl: 0.5000 0.0000 0.0000  2 Sr 3.07
Tl: 0.0000 0.5000 0.0000  2 Sr 3.07
Sr: 0.0000 0.0000 0.0000  6 Tl 3.07
O: 0.5000 0.5000 0.5000  12 Tl 4.34

The value obtained for the formation energy from raw total energies is 514 kJ/mol of formula units. The calculation puts the density of states at the Fermi level at 5.68 states/eV/cell. The value obtained for the volume is 231.8 Å³/f.u. Its density is 5.1 g/cm3. The symmetry is Pm-3m. For the total energy, the calculation gives -9.6 eV per cell.

=====

SrTlO3: optimized geometry, PBEsol.

Cell lengths 4.6316, 4.6316, 4.6316 Å; angles 90.00, 90.00, 90.00 degrees
With the nearest neighbours (Å) after each atom.
Positions (direct):
O: 0.0000 0.5000 0.5000  2 Sr 2.32
O: 0.5000 0.5000 0.0000  2 Sr 2.32
O: 0.5000 0.0000 0.5000  2 Sr 2.32
Tl: 0.0000 0.0000 0.0000  12 O 3.28
Sr: 0.5000 0.5000 0.5000  6 O 2.32

The value obtained for the formation energy from raw total energies is -226 kJ/mol of formula units. The calculation puts the density of states at the Fermi level at 4.34 states/eV/cell. The value obtained for the volume is 99.4 Å³/f.u. Its density is 5.7 g/cm3. The symmetry is Pm-3m. For the total energy, the calculation gives -22.6 eV per cell.

=====

Sr3UO6: optimized geometry, PBEsol.

Cell lengths 5.9745, 6.2069, 8.5789 Å; angles 90.00, 89.49, 90.00 degrees
With the nearest neighbours (Å) after each atom.
Positions (direct):
O: 0.8251 0.2728 0.9222  1 U 2.10
O: 0.6749 0.7728 0.5778  1 U 2.10
O: 0.1749 0.7272 0.0778  1 U 2.10
O: 0.8808 0.0623 0.2252  1 U 2.09
O: 0.3251 0.2272 0.4222  1 U 2.10
O: 0.3808 0.4377 0.7252  1 U 2.09
O: 0.1192 0.9377 0.7748  1 U 2.09
O: 0.6192 0.5623 0.2748  1 U 2.09
O: 0.7173 0.8231 0.9495  1 U 2.06
O: 0.7827 0.3231 0.5505  1 U 2.06
O: 0.2827 0.1769 0.0505  1 U 2.06
O: 0.2173 0.6769 0.4495  1 U 2.06
Sr: 0.4844 0.9495 0.2427  5 O 2.47-2.72
Sr: 0.5156 0.0505 0.7573  5 O 2.47-2.72
Sr: 0.0156 0.4495 0.2573  5 O 2.47-2.72
Sr: 0.0000 0.0000 0.5000  6 O 2.43-2.50
Sr: 0.9844 0.5505 0.7427  5 O 2.47-2.72
Sr: 0.5000 0.5000 0.0000  6 O 2.43-2.50
U: 0.5000 0.5000 0.5000  6 O 2.06-2.10
U: 0.0000 0.0000 0.0000  6 O 2.06-2.10

The value obtained for the formation energy from raw total energies is -3018 kJ/mol of formula units. The calculation puts the density of states at the Fermi level at 0.00 states/eV/cell. The value obtained for the volume is 159.1 Å³/f.u. Its density is 6.2 g/cm3. The symmetry is P2_1/c. For the total energy, the calculation gives -160.9 eV per cell.

=====

Sr2UO5: optimized geometry, PBEsol.

Cell lengths 5.6497, 8.0355, 11.8649 Å; angles 108.33, 90.00, 90.00 degrees
With the nearest neighbours (Å) after each atom.
Positions (direct):
O: 0.2099 0.1084 0.1423  1 U 2.02
O: 0.2393 0.9800 0.3785  1 U 2.03
O: 0.6690 0.4453 0.3348  1 U 2.10
O: 0.7607 0.0200 0.6215  1 U 2.03
O: 0.2901 0.1084 0.6423  1 U 2.02
O: 0.8310 0.4453 0.8348  1 U 2.10
O: 0.3471 0.7497 0.5017  2 U 2.18-2.19
O: 0.7901 0.8916 0.8577  1 U 2.02
O: 0.6529 0.2503 0.4983  2 U 2.18-2.19
O: 0.8015 0.6056 0.5737  1 U 1.98
O: 0.1690 0.5547 0.1652  1 U 2.10
O: 0.1985 0.3944 0.4263  1 U 1.98
O: 0.7393 0.0200 0.1215  1 U 2.03
O: 0.3015 0.3944 0.9263  1 U 1.98
O: 0.7099 0.8916 0.3577  1 U 2.02
O: 0.3310 0.5547 0.6652  1 U 2.10
O: 0.6985 0.6056 0.0737  1 U 1.98
O: 0.8471 0.2503 0.9983  2 U 2.18-2.19
O: 0.1529 0.7497 0.0017  2 U 2.18-2.19
O: 0.2607 0.9800 0.8785  1 U 2.03
U: 0.5000 0.0000 0.5000  6 O 2.02-2.19
U: 0.5000 0.5000 0.5000  6 O 1.98-2.18
U: 0.0000 0.5000 0.0000  6 O 1.98-2.18
U: 0.0000 0.0000 0.0000  6 O 2.02-2.19
Sr: 0.5689 0.1561 0.8183  7 O 2.46-2.71
Sr: 0.0689 0.8439 0.6817  7 O 2.46-2.71
Sr: 0.9994 0.6604 0.3627  4 O 2.42-2.52
Sr: 0.5006 0.6604 0.8627  4 O 2.42-2.52
Sr: 0.9311 0.1561 0.3183  7 O 2.46-2.71
Sr: 0.4311 0.8439 0.1817  7 O 2.46-2.71
Sr: 0.4994 0.3396 0.1373  4 O 2.42-2.52
Sr: 0.0006 0.3396 0.6373  4 O 2.42-2.52

The value obtained for the formation energy from raw total energies is -2454 kJ/mol of formula units. The calculation puts the density of states at the Fermi level at 0.00 states/eV/cell. The value obtained for the volume is 127.8 Å³/f.u. Its density is 6.4 g/cm3. The symmetry is P2_1/c. For the total energy, the calculation gives -270.1 eV per cell.

=====

Sr2VO4: optimized geometry, PBEsol.

Cell lengths 3.7831, 3.7831, 6.8365 Å; angles 106.06, 106.06, 90.00 degrees
With the nearest neighbours (Å) after each atom.
Positions (direct):
Sr: 0.3543 0.3543 0.7085  9 O 2.47-2.68
Sr: 0.6457 0.6457 0.2915  9 O 2.47-2.68
V: 0.0000 0.0000 0.0000  6 O 1.89-1.99
O: 0.1578 0.1578 0.3155  1 V 1.99
O: 0.0000 0.5000 0.0000  2 V 1.89
O: 0.8422 0.8422 0.6845  1 V 1.99
O: 0.5000 0.0000 0.0000  2 V 1.89

The value obtained for the formation energy from raw total energies is -1909 kJ/mol of formula units. The calculation puts the density of states at the Fermi level at 2.74 states/eV/cell. The value obtained for the volume is 90.0 Å³/f.u. Its density is 5.4 g/cm3. The symmetry is I4/mmm. For the total energy, the calculation gives -54.1 eV per cell.